[1]
Entry from Alexandria: Nd5I2O12 after structural relaxation (PBE-GGA).

Cell and atoms, written as extended XYZ:
```
19
Lattice="6.471 -3.230 0.000 6.471 3.230 0.000 -2.281 0.000 7.311" Properties=species:S:1:pos:R:3 pbc="T T T"
Nd 0.000 0.000 0.000
Nd 3.550 0.000 0.994
Nd 2.413 0.000 4.916
Nd 8.247 0.000 2.395
Nd 7.111 0.000 6.317
I 5.330 1.636 3.656
I 5.330 -1.636 3.656
O -1.557 0.000 5.012
O 2.368 1.626 6.768
O 3.342 1.474 3.027
O 8.292 1.626 0.543
O 7.318 1.474 4.284
O 4.872 0.000 5.069
O 5.789 0.000 2.242
O 3.342 -1.474 3.027
O 2.368 -1.626 6.768
O 7.318 -1.474 4.284
O 8.292 -1.626 0.543
O 12.217 0.000 2.299
```

Results
Space group: C2/m, No. 12
Formation energy without anion corrections in eV/atom: -2.233
E in eV per atom: -6.7820


[2]
Entry from Alexandria: Nd2I3O after structural relaxation (PBE-GGA).

Cell and atoms, written as extended XYZ:
```
12
Lattice="10.357 -2.100 0.000 10.357 2.100 0.000 -7.631 0.000 10.193" Properties=species:S:1:pos:R:3 pbc="T T T"
Nd -2.174 0.000 4.711
Nd 5.930 0.000 2.357
Nd 7.153 0.000 7.835
Nd 15.256 0.000 5.482
I 3.491 0.000 0.065
I 3.044 0.000 3.856
I 3.912 0.000 7.734
I 9.170 0.000 2.458
I 10.039 0.000 6.337
I 9.591 0.000 10.127
O -3.435 0.000 6.735
O 16.517 0.000 3.458
```

Results
Space group: C2/m, No. 12
Formation energy without anion corrections in eV/atom: -1.960
E in eV per atom: -5.1502


[3]
Entry from Alexandria: Nd6IO12 after structural relaxation (PBE-GGA).

Cell and atoms, written as extended XYZ:
```
19
Lattice="5.134 2.964 3.282 -5.134 2.964 3.282 0.000 -5.928 3.282" Properties=species:S:1:pos:R:3 pbc="T T T"
Nd -2.743 -2.577 5.151
Nd -3.604 1.087 4.696
Nd 0.861 -3.664 4.696
Nd -0.861 3.664 5.151
Nd 3.604 -1.087 5.151
Nd 2.743 2.577 4.696
I 0.000 0.000 4.923
O -1.338 -4.236 4.237
O -4.338 -0.959 5.610
O -1.699 -0.393 3.845
O -3.000 3.277 4.237
O 1.190 -1.274 3.845
O -0.509 -1.668 6.001
O 0.509 1.668 3.845
O -1.190 1.274 6.001
O 3.000 -3.277 5.610
O 1.699 0.393 6.001
O 4.338 0.959 4.237
O 1.338 4.236 5.610
```

Results
Space group: R-3, No. 148
Formation energy without anion corrections in eV/atom: -2.779
E in eV per atom: -7.4981